A plane-wave DFT calculation with PBE+U was carried out for an optimized crystal structure of PtWNF2.

Computed properties:
Energy relative to the lowest polymorph listed for this composition: 0.0000 eV/atom
Crystal system: tetragonal
Size of the total moment: 1.94 μB per cell

a = 4.163 Å, b = 4.163 Å, c = 4.048 Å
α = 90.00°, β = 90.00°, γ = 90.00°
Last column: magnetic moment on the atom in μB.
Sites, in units of the cell vectors:
N  0.000  0.000  0.500  -0.27
W  0.000  0.000  0.000  1.88
Pt  0.500  0.500  0.500  0.25
F  0.000  0.500  0.000  0.04
F  0.500  0.000  0.000  0.04